! PBE Rb2ZrRuBr6, relaxed; values from VASP
! - N(E_F): 0.1 states/eV/cell
! - E_form (uncorrected): -9.8 eV/f.u.
! - M_tot: 2.0 Bohr magnetons per cell
! - Total energy: -3.9596 eV/atom
! - Space group: Fm-3m (225)
&SYSTEM
  ibrav = 0, nat = 10, ntyp = 4
/
ATOMIC_SPECIES
Rb 85.47 Rb.upf
Zr 91.22 Zr.upf
Ru 101.07 Ru.upf
Br 79.90 Br.upf
CELL_PARAMETERS angstrom
0.0000 5.4291 5.4291
5.4291 0.0000 5.4291
5.4291 5.4291 0.0000
ATOMIC_POSITIONS crystal
Rb 0.2500 0.2500 0.2500
Rb 0.7500 0.7500 0.7500
Zr 0.0000 0.0000 0.0000
Ru 0.5000 0.5000 0.5000
Br 0.2477 0.2477 0.7523
Br 0.2477 0.7523 0.2477
Br 0.2477 0.7523 0.7523
Br 0.7523 0.2477 0.2477
Br 0.7523 0.2477 0.7523
Br 0.7523 0.7523 0.2477

! PBE Rb4S12Br, relaxed; values from VASP
! - N(E_F): 6.1 states/eV/cell
! - E_form (uncorrected): -7.3 eV/f.u.
! - M_tot: 2.7 Bohr magnetons per cell
! - Total energy: -3.6706 eV/atom
! - Space group: Im-3 (204)
&SYSTEM
  ibrav = 0, nat = 17, ntyp = 3
/
ATOMIC_SPECIES
Rb 85.47 Rb.upf
S 32.06 S.upf
Br 79.90 Br.upf
CELL_PARAMETERS angstrom
-5.3551 5.3551 5.3551
5.3551 -5.3551 5.3551
5.3551 5.3551 -5.3551
ATOMIC_POSITIONS crystal
Rb 0.0000 0.0000 0.5000
Rb 0.0000 0.5000 0.0000
Rb 0.5000 0.0000 0.0000
Rb 0.5000 0.5000 0.5000
S 0.1223 0.4095 0.5318
S 0.1223 0.5905 0.7127
S 0.2873 0.8777 0.4095
S 0.4095 0.2873 0.8777
S 0.4095 0.5318 0.1223
S 0.4682 0.8777 0.5905
S 0.5318 0.1223 0.4095
S 0.5905 0.4682 0.8777
S 0.5905 0.7127 0.1223
S 0.7127 0.1223 0.5905
S 0.8777 0.4095 0.2873
S 0.8777 0.5905 0.4682
Br 0.0000 0.0000 0.0000

! PBE RbS3Br, relaxed; values from VASP
! - N(E_F): 0.0 states/eV/cell
! - E_form (uncorrected): -2.7 eV/f.u.
! - M_tot: 0.0 Bohr magnetons per cell
! - Energy above the most stable polymorph in this dataset: 0 meV per atom
! - Total energy: -3.5490 eV/atom
! - Space group: C2/m (12)
&SYSTEM
  ibrav = 0, nat = 10, ntyp = 3
/
ATOMIC_SPECIES
Rb 85.47 Rb.upf
S 32.06 S.upf
Br 79.90 Br.upf
CELL_PARAMETERS angstrom
8.1915 -3.4208 0.0000
8.1915 3.4208 0.0000
-4.0902 0.0000 7.6416
ATOMIC_POSITIONS crystal
Rb 0.1503 0.1503 0.3446
Rb 0.8497 0.8497 0.6554
S 0.0555 0.5263 0.1396
S 0.3707 0.3707 0.1552
S 0.4737 0.9445 0.8604
S 0.5263 0.0555 0.1396
S 0.6293 0.6293 0.8448
S 0.9445 0.4737 0.8604
Br 0.3699 0.3699 0.6352
Br 0.6301 0.6301 0.3648

! PBE RbSBr4, relaxed; values from VASP
! - N(E_F): 2.3 states/eV/cell
! - E_form (uncorrected): -3.0 eV/f.u.
! - M_tot: 0.0 Bohr magnetons per cell
! - Total energy: -2.4591 eV/atom
! - Space group: C2/c (15)
&SYSTEM
  ibrav = 0, nat = 12, ntyp = 3
/
ATOMIC_SPECIES
Rb 85.47 Rb.upf
S 32.06 S.upf
Br 79.90 Br.upf
CELL_PARAMETERS angstrom
5.1455 -2.9022 0.0000
5.1455 2.9022 0.0000
-3.2264 0.0000 15.0795
ATOMIC_POSITIONS crystal
Rb 0.0000 0.5000 0.0000
Rb 0.5000 0.0000 0.5000
S 0.2487 0.7513 0.7500
S 0.7513 0.2487 0.2500
Br 0.0062 0.5095 0.7502
Br 0.1948 0.6962 0.5829
Br 0.3038 0.8052 0.9171
Br 0.4905 0.9938 0.7498
Br 0.5095 0.0062 0.2502
Br 0.6962 0.1948 0.0829
Br 0.8052 0.3038 0.4171
Br 0.9938 0.4905 0.2498

Among the records above, which one has the lowest total energy?
Rb2ZrRuBr6

Which of these has the highest total energy?
RbSBr4